Entry from the Alexandria database: FePHO5 after structural relaxation (PBE with a Hubbard U).

Calculated values
The calculation puts the final energy at -0.23653 hartree per atom. The density of states at the Fermi level is 8.3 states/eV/cell.

a b c (Å): 5.356 5.324 7.375
angles (deg): 106.11 108.73 98.66
Atoms (fractional coordinates):
1 Fe 0.000 0.000 0.500
2 Fe 0.000 0.000 0.000
3 P 0.665 0.328 0.237
4 P 0.335 0.672 0.763
5 H 0.322 0.968 0.311
6 H 0.678 0.032 0.689
7 O 0.879 0.059 0.736
8 O 0.687 0.135 0.363
9 O 0.255 0.374 0.625
10 O 0.364 0.258 0.091
11 O 0.853 0.296 0.116
12 O 0.147 0.704 0.884
13 O 0.636 0.742 0.909
14 O 0.745 0.626 0.375
15 O 0.313 0.865 0.637
16 O 0.121 0.941 0.264